A relaxed Ti2VAs crystal, computed with PBE-GGA.

Results
ΔH_f (0 K) = -0.4447 eV/atom
theoretical density = 6.12 Mg/m³
magnetization = 0.000 μB per atom
symmetry = P4/mmm
electronic total energy = -7.834 eV/atom

a = 4.155 Å, b = 4.155 Å, c = 3.483 Å
α = 90.00°, β = 90.00°, γ = 90.00°
Element x y z (fractional)
Ti: 0.000 0.500 0.000
Ti: 0.500 0.000 0.000
V: 0.000 0.000 0.500
As: 0.500 0.500 0.500

***

A relaxed TiV2As crystal, computed with PBE-GGA.

Results
ΔH_f (0 K) = -0.2708 eV/atom
theoretical density = 6.32 Mg/m³
magnetization = 0.000 μB per atom
symmetry = Cmcm
electronic total energy = -7.966 eV/atom

a = 4.370 Å, b = 9.495 Å, c = 5.687 Å
α = 90.00°, β = 90.00°, γ = 90.00°
Element x y z (fractional)
Ti: 0.000 0.104 0.250
Ti: 0.000 0.896 0.750
Ti: 0.500 0.396 0.750
Ti: 0.500 0.604 0.250
V: 0.000 0.378 0.037
V: 0.000 0.378 0.463
V: 0.000 0.622 0.537
V: 0.000 0.622 0.963
V: 0.500 0.122 0.537
V: 0.500 0.122 0.963
V: 0.500 0.878 0.037
V: 0.500 0.878 0.463
As: 0.000 0.175 0.750
As: 0.000 0.825 0.250
As: 0.500 0.325 0.250
As: 0.500 0.675 0.750

***

A relaxed TiV2As crystal, computed with PBE-GGA.

Results
ΔH_f (0 K) = -0.1485 eV/atom
theoretical density = 6.68 Mg/m³
magnetization = 0.000 μB per atom
symmetry = Fm-3m
electronic total energy = -7.844 eV/atom

a = 6.068 Å, b = 6.068 Å, c = 6.068 Å
α = 90.00°, β = 90.00°, γ = 90.00°
Element x y z (fractional)
Ti: 0.000 0.000 0.000
Ti: 0.000 0.500 0.500
Ti: 0.500 0.000 0.500
Ti: 0.500 0.500 0.000
V: 0.250 0.250 0.250
V: 0.250 0.250 0.750
V: 0.250 0.750 0.250
V: 0.250 0.750 0.750
V: 0.750 0.250 0.250
V: 0.750 0.250 0.750
V: 0.750 0.750 0.250
V: 0.750 0.750 0.750
As: 0.000 0.000 0.500
As: 0.000 0.500 0.000
As: 0.500 0.000 0.000
As: 0.500 0.500 0.500

***

A relaxed TiV2As crystal, computed with PBE-GGA.

Results
ΔH_f (0 K) = -0.3529 eV/atom
theoretical density = 6.54 Mg/m³
magnetization = 0.000 μB per atom
symmetry = P4/mmm
electronic total energy = -8.048 eV/atom

a = 3.726 Å, b = 3.726 Å, c = 4.112 Å
α = 90.00°, β = 90.00°, γ = 90.00°
Element x y z (fractional)
Ti: 0.000 0.000 0.000
V: 0.000 0.500 0.500
V: 0.500 0.000 0.500
As: 0.500 0.500 0.000

***

Look up the theoretical density of the first one.
6.12 Mg/m³